[1]
Below is a geometry-optimized TePdSe2 structure, with properties calculated at the PBE level.

The space group is P2/c (No. 13) and the conventional cell measures 7.874, 3.905 and 6.478 Å, with angles of 90.00, 90.58 and 90.00 degrees. The asymmetric unit holds Te at (0.000, 0.000, 0.000), Pd at (0.500, 0.245, 0.250) and Se at (0.334, 0.246, 0.582).

The calculation puts the magnetic moment at 0.00 Bohr magnetons per cell. The value obtained for the final energy is -15.87 eV per formula unit. The raw formation energy comes out at -0.1413 eV per atom.

***

[2]
Below is a geometry-optimized Te4PdSe structure, with properties calculated at the PBE level.

The space group is C2/c (No. 15) and the conventional cell measures 17.434, 6.289 and 6.759 Å, with angles of 90.00, 107.67 and 90.00 degrees. The asymmetric unit holds Te at (0.088, 0.224, 0.464), Te at (0.189, 0.382, 0.097), Pd at (0.250, 0.250, 0.500) and Se at (0.000, 0.158, 0.750).

The calculation puts the magnetic moment at 0.00 Bohr magnetons per cell. The value obtained for the final energy is -21.32 eV per formula unit. The raw formation energy comes out at -0.0120 eV per atom.

***

[3]
Below is a geometry-optimized TePd4Se2 structure, with properties calculated at the PBE level.

The space group is Cmmm (No. 65) and the conventional cell measures 6.832, 9.982 and 3.951 Å, with angles of 90.00, 90.00 and 90.00 degrees. The asymmetric unit holds Te at (0.000, 0.000, 0.000), Pd at (0.215, 0.500, 0.500), Pd at (0.250, 0.250, 0.000) and Se at (0.000, 0.299, 0.500).

The calculation puts the magnetic moment at 0.00 Bohr magnetons per cell. The calculation puts the excess energy over the best structure of this formula in the dataset at 0.0 kJ/mol of atoms. The value obtained for the final energy is -32.12 eV per formula unit. The raw formation energy comes out at -0.1772 eV per atom.